# 1
# Na2SiGeAu2

A relaxed structure of Na2SiGeAu2 (PBE, the Open Quantum Materials Database).

Geometry as extended XYZ:
```
6
Lattice="5.215 -2.203 0.000 5.215 2.203 0.000 -5.090 0.000 5.274" Properties=species:S:1:pos:R:3 pbc="T T T"
Au -3.525 0.000 3.817
Au 8.849 0.000 1.501
Na 3.856 0.000 3.772
Na 5.690 0.000 0.470
Si 2.617 0.000 0.814
Ge 0.851 0.000 2.588
```

Computed properties:
energy: -3.495 eV per atom
SG: Cm, No. 8
volume: 121.16 Å³/cell



# 2
# AlHgSO

A relaxed structure of AlHgSO (PBE, the Open Quantum Materials Database).

Geometry as extended XYZ:
```
8
Lattice="-3.299 -1.340 -0.034 1.734 -4.433 6.498 -1.707 4.120 3.266" Properties=species:S:1:pos:R:3 pbc="T T T"
Hg 0.376 -0.982 2.224
Hg 0.216 -0.696 6.459
O -1.288 -1.780 8.715
O -2.030 0.239 1.104
S 1.063 -2.739 4.851
S -0.489 1.107 3.867
Al -2.394 1.100 2.538
Al -0.206 -4.373 5.907
```

Computed properties:
relative energy among the computed polymorphs: 59 meV per atom
SG: Pmc2_1, No. 26
volume: 158.55 Å³/cell



# 3
# TlAu15

A relaxed structure of TlAu15 (PBE, the Open Quantum Materials Database).

Geometry as extended XYZ:
```
32
Lattice="-1.504 -0.769 7.988 2.777 -0.780 0.448 8.853 34.350 4.944" Properties=species:S:1:pos:R:3 pbc="T T T"
Au 4.640 13.767 9.488
Au 4.009 13.299 3.067
Au 3.256 12.910 7.061
Au 3.899 10.894 9.077
Au 1.743 7.067 6.258
Au 3.933 8.495 4.684
Au 7.615 25.332 11.187
Au 7.623 22.781 6.688
Au 6.228 21.906 4.303
Au 3.128 7.903 8.643
Au 6.193 24.306 8.696
Au 5.392 14.152 5.494
Au 2.512 7.468 2.192
Au 6.918 27.119 9.105
Au 3.209 5.681 4.274
Au 4.748 16.167 3.481
Au 2.503 10.019 6.691
Au 3.996 15.782 7.472
Au 6.871 19.891 6.319
Au 3.272 10.411 2.605
Au 5.378 16.633 9.899
Au 6.855 22.390 10.775
Au 5.487 19.033 3.892
Au 4.653 11.284 5.080
Au 6.118 19.501 10.313
Au 4.735 18.648 7.885
Au 5.474 21.517 8.300
Au 6.998 24.898 4.737
Au 6.130 17.019 5.907
Au 8.383 25.734 7.121
Tl 7.856 28.220 5.204
Tl 2.270 4.581 8.176
```

Computed properties:
relative energy among the computed polymorphs: 28 meV per atom
SG: P2_1/m, No. 11
volume: 853.71 Å³/cell